[1]
DFT (PBE) results for a relaxed structure of B2PdRh2.

```
B2PdRh2
1.0
3.9734 0.0000 0.0000
0.0000 3.7157 0.0000
-1.2627 0.0000 7.8635
B Pd Rh
4 2 4
Cartesian
0.5989 0.9289 0.0505
0.4113 2.7867 4.8490
2.2994 0.9289 3.0145
2.1118 2.7867 7.8130
0.5423 2.7867 1.7831
2.1684 0.9289 6.0804
0.3479 0.9289 3.9135
0.1310 2.7867 6.9211
2.5798 0.9289 0.9424
2.3629 2.7867 3.9499
```

calculated total energy = -6.8874 eV per atom
total magnetization = 0.0 μB per formula unit


[2]
DFT (PBE) results for a relaxed structure of BPdRh2.

```
BPdRh2
1.0
2.7048 0.0000 0.0000
0.0000 2.7048 0.0000
0.0000 0.0000 6.7688
B Pd Rh
1 1 2
Cartesian
0.0000 0.0000 0.0000
0.0000 0.0000 3.3844
1.3524 1.3524 1.2894
1.3524 1.3524 5.4794
```

calculated total energy = -6.7490 eV per atom
total magnetization = 0.0 μB per formula unit


[3]
DFT (PBE) results for a relaxed structure of BPd2Rh.

```
BPd2Rh
1.0
2.1448 -2.1451 0.0000
2.1448 2.1451 0.0000
-2.1309 0.0000 5.8374
B Pd Rh
1 2 1
Cartesian
0.0000 0.0000 0.0000
0.0077 0.0000 2.0431
2.1511 0.0000 3.7943
2.1448 0.0000 0.0000
```

calculated total energy = -6.2512 eV per atom
total magnetization = 0.0 μB per formula unit


[4]
DFT (PBE) results for a relaxed structure of B2PdRh2.

```
B2PdRh2
1.0
-1.8947 1.8947 4.2522
1.8947 -1.8947 4.2522
1.8947 1.8947 -4.2522
B Pd Rh
2 1 2
Cartesian
1.8947 0.0000 2.1261
0.0000 1.8947 2.1261
0.0000 0.0000 0.0000
0.0000 0.0000 2.9788
0.0000 0.0000 5.5257
```

calculated total energy = -6.6083 eV per atom
total magnetization = 0.0 μB per formula unit


[5]
DFT (PBE) results for a relaxed structure of BPdRh3.

```
BPdRh3
1.0
4.7368 0.0000 0.0000
0.0000 4.7368 0.0000
0.0000 0.0000 4.7368
B Pd Rh
1 1 3
Cartesian
0.0000 0.0000 0.0000
2.3684 2.3684 2.3684
0.0000 2.3684 2.3684
2.3684 0.0000 2.3684
2.3684 2.3684 0.0000
```

calculated total energy = -4.4126 eV per atom
total magnetization = 2.4 μB per formula unit


[6]
DFT (PBE) results for a relaxed structure of B2Pd3Rh.

```
B2Pd3Rh
1.0
6.2992 -1.6118 0.0000
6.2992 1.6118 0.0000
-4.0392 0.0000 7.5351
B Pd Rh
4 6 2
Cartesian
-0.3004 0.0000 3.1610
4.0724 0.0000 1.1084
4.4869 0.0000 6.4267
8.8596 0.0000 4.3741
2.0195 0.0000 0.3506
1.9746 0.0000 3.0855
2.3329 0.0000 5.9776
6.2263 0.0000 1.5575
6.5846 0.0000 4.4497
6.5397 0.0000 7.1846
-1.8264 0.0000 5.1276
10.3856 0.0000 2.4075
```

calculated total energy = -6.3065 eV per atom
total magnetization = 0.0 μB per formula unit


[7]
DFT (PBE) results for a relaxed structure of B2PdRh2.

```
B2PdRh2
1.0
6.3319 0.0000 0.0000
0.0000 6.3319 0.0000
0.0000 0.0000 2.7447
B Pd Rh
4 2 4
Cartesian
0.9307 2.2352 0.0000
2.2352 5.4012 0.0000
4.0967 0.9307 0.0000
5.4012 4.0967 0.0000
0.0000 0.0000 0.0000
3.1660 3.1660 0.0000
0.9461 4.1121 1.3723
2.2199 0.9461 1.3723
4.1121 5.3858 1.3723
5.3858 2.2199 1.3723
```

calculated total energy = -6.7595 eV per atom
total magnetization = 0.0 μB per formula unit


[8]
DFT (PBE) results for a relaxed structure of B2PdRh2.

```
B2PdRh2
1.0
4.6410 -2.6950 0.0000
4.6410 2.6950 0.0000
-3.0412 0.0000 4.6308
B Pd Rh
4 2 4
Cartesian
3.1236 1.3391 0.3294
3.1204 1.3996 2.3154
1.6030 -1.3391 2.6448
4.6410 -1.3996 0.0000
4.8191 0.3754 1.3128
3.2985 -0.3754 3.6282
1.6348 2.1417 3.6413
1.5133 0.3873 1.3245
-0.0073 -0.3873 3.6399
3.1555 -2.1417 1.3259
```

calculated total energy = -6.9329 eV per atom
total magnetization = 0.0 μB per formula unit


Number 1: formation energy -0.237 eV per atom. Number 2: formation energy -0.106 eV per atom. Number 3: formation energy -0.148 eV per atom. Number 4: formation energy 0.042 eV per atom. Number 5: formation energy 2.372 eV per atom. Number 6: formation energy -0.259 eV per atom. Number 7: formation energy -0.109 eV per atom. Number 8: formation energy -0.283 eV per atom.